(1)
# PmBiH8Rh2 GGA-PBE relaxed
# **Total DFT energy (no corrections)**: -4.244 eV/atom
# **Mass density**: 7.5 g cm⁻³
data_PmBiH8Rh2
_chemical_formula_sum 'Pm3 Bi3 H24 Rh6'
_symmetry_space_group_name_H-M 'R -3'
_symmetry_Int_Tables_number 148
_symmetry_space_group_name_Hall '-R 3'
_cell_length_a 5.0477
_cell_length_b 5.0477
_cell_length_c 17.0303
_cell_angle_alpha 90.00
_cell_angle_beta 90.00
_cell_angle_gamma 120.00
loop_
_atom_site_label
_atom_site_fract_x
_atom_site_fract_y
_atom_site_fract_z
Pm1 0.0000 0.0000 0.0000
Bi1 0.0000 0.0000 0.5000
H1 0.0000 0.0000 0.3172
H2 0.0486 0.5254 0.5561
Rh1 0.0000 0.0000 0.2213

=====

(2)
# Pr3Bi3H GGA-PBE relaxed
# **Total DFT energy (no corrections)**: -4.893 eV/atom
# **Mass density**: 8.1 g cm⁻³
data_Pr3Bi3H
_chemical_formula_sum 'Pr12 Bi12 H4'
_symmetry_space_group_name_H-M 'C 1 2/m 1'
_symmetry_Int_Tables_number 12
_cell_length_a 9.348
_cell_length_b 13.936
_cell_length_c 6.597
_cell_angle_alpha 90.00
_cell_angle_beta 92.68
_cell_angle_gamma 90.00
loop_
_symmetry_equiv_pos_as_xyz
'x,y,z'
'-x,-y,-z'
'-x,y,-z'
'x,-y,z'
'x+1/2,y+1/2,z'
'-x+1/2,-y+1/2,-z'
'-x+1/2,y+1/2,-z'
'x+1/2,-y+1/2,z'
loop_
_atom_site_label
_atom_site_fract_x
_atom_site_fract_y
_atom_site_fract_z
Pr1 0.091 0.000 0.276
Pr2 0.196 0.361 0.242
Bi1 0.000 0.190 0.000
Bi2 0.000 0.205 0.500
Bi3 0.085 0.500 0.767
H1 0.168 0.000 0.652

=====

(3)
# Pr3Bi2H GGA-PBE relaxed
# **Total DFT energy (no corrections)**: -4.811 eV/atom
# **Mass density**: 7.4 g cm⁻³
data_Pr3Bi2H
_chemical_formula_sum 'Pr12 Bi8 H4'
_symmetry_space_group_name_H-M 'C 1 2/c 1'
_symmetry_Int_Tables_number 15
_cell_length_a 13.643
_cell_length_b 6.478
_cell_length_c 8.970
_cell_angle_alpha 90.00
_cell_angle_beta 108.25
_cell_angle_gamma 90.00
loop_
_symmetry_equiv_pos_as_xyz
'x,y,z'
'-x,-y,-z'
'-x,y,-z+1/2'
'x,-y,z+1/2'
'x+1/2,y+1/2,z'
'-x+1/2,-y+1/2,-z'
'-x+1/2,y+1/2,-z+1/2'
'x+1/2,-y+1/2,z+1/2'
loop_
_atom_site_label
_atom_site_fract_x
_atom_site_fract_y
_atom_site_fract_z
Pr1 0.000 0.058 0.250
Pr2 0.151 0.493 0.584
Bi1 0.176 0.007 0.084
H1 0.000 0.432 0.250

=====

(4)
# Pr4Bi3H4 GGA-PBE relaxed
# **Total DFT energy (no corrections)**: -4.564 eV/atom
# **Mass density**: 7.9 g cm⁻³
data_Pr4Bi3H4
_chemical_formula_sum 'Pr8 Bi6 H8'
_symmetry_space_group_name_H-M 'I m m m'
_symmetry_Int_Tables_number 71
_symmetry_space_group_name_Hall '-I 2 2'
_cell_length_a 4.445
_cell_length_b 7.792
_cell_length_c 14.419
_cell_angle_alpha 90.00
_cell_angle_beta 90.00
_cell_angle_gamma 90.00
loop_
_atom_site_label
_atom_site_fract_x
_atom_site_fract_y
_atom_site_fract_z
Pr1 0.000 0.000 0.218
Pr2 0.000 0.230 0.500
Bi1 0.000 0.000 0.000
Bi2 0.000 0.500 0.118
H1 0.000 0.317 0.323

=====

(5)
# Pr3Bi2H2 GGA-PBE relaxed
# **Total DFT energy (no corrections)**: -4.805 eV/atom
# **Mass density**: 8.2 g cm⁻³
data_Pr3Bi2H2
_chemical_formula_sum 'Pr6 Bi4 H4'
_symmetry_space_group_name_H-M 'P 1 21/c 1'
_symmetry_Int_Tables_number 14
_cell_length_a 6.791
_cell_length_b 6.342
_cell_length_c 8.499
_cell_angle_alpha 90.00
_cell_angle_beta 110.81
_cell_angle_gamma 90.00
loop_
_symmetry_equiv_pos_as_xyz
'x,y,z'
'-x,-y,-z'
'-x,y+1/2,-z+1/2'
'x,-y+1/2,z+1/2'
loop_
_atom_site_label
_atom_site_fract_x
_atom_site_fract_y
_atom_site_fract_z
Pr1 0.000 0.000 0.000
Pr2 0.367 0.127 0.788
Bi1 0.222 0.601 0.897
H1 0.355 0.110 0.069

=====

(6)
# PrBiH GGA-PBE relaxed
# **Excess energy over the best structure of this formula in the dataset**: 0.000 eV per atom
# **Mass density**: 8.5 g cm⁻³
data_PrBiH
_chemical_formula_sum 'Pr1 Bi1 H1'
_symmetry_space_group_name_H-M 'P -6 m 2'
_symmetry_Int_Tables_number 187
_symmetry_space_group_name_Hall 'P -6 2'
_cell_length_a 3.9857
_cell_length_b 3.9857
_cell_length_c 4.9788
_cell_angle_alpha 90.00
_cell_angle_beta 90.00
_cell_angle_gamma 120.00
loop_
_atom_site_label
_atom_site_fract_x
_atom_site_fract_y
_atom_site_fract_z
Pr1 0.0000 0.0000 0.0000
Bi1 0.6667 0.3333 0.5000
H1 0.3333 0.6667 0.0000

=====

(7)
# PrBiH GGA-PBE relaxed
# **Excess energy over the best structure of this formula in the dataset**: 0.226 eV per atom
# **Mass density**: 8.4 g cm⁻³
data_PrBiH
_chemical_formula_sum 'Pr2 Bi2 H2'
_symmetry_space_group_name_H-M 'I 4 m m'
_symmetry_Int_Tables_number 107
_symmetry_space_group_name_Hall 'I 4 -2'
_cell_length_a 3.422
_cell_length_b 3.422
_cell_length_c 11.891
_cell_angle_alpha 90.00
_cell_angle_beta 90.00
_cell_angle_gamma 90.00
loop_
_atom_site_label
_atom_site_fract_x
_atom_site_fract_y
_atom_site_fract_z
Pr1 0.000 0.000 0.000
Bi1 0.000 0.000 0.284
H1 0.000 0.000 0.550

=====

(8)
# Pr2BiH3 GGA-PBE relaxed
# **Total DFT energy (no corrections)**: -4.603 eV/atom
# **Mass density**: 7.4 g cm⁻³
data_Pr2BiH3
_chemical_formula_sum 'Pr8 Bi4 H12'
_symmetry_space_group_name_H-M 'C 1 2/m 1'
_symmetry_Int_Tables_number 12
_cell_length_a 15.644
_cell_length_b 4.126
_cell_length_c 7.528
_cell_angle_alpha 90.00
_cell_angle_beta 114.61
_cell_angle_gamma 90.00
loop_
_symmetry_equiv_pos_as_xyz
'x,y,z'
'-x,-y,-z'
'-x,y,-z'
'x,-y,z'
'x+1/2,y+1/2,z'
'-x+1/2,-y+1/2,-z'
'-x+1/2,y+1/2,-z'
'x+1/2,-y+1/2,z'
loop_
_atom_site_label
_atom_site_fract_x
_atom_site_fract_y
_atom_site_fract_z
Pr1 0.029 0.000 0.269
Pr2 0.200 0.500 0.680
Bi1 0.133 0.500 0.047
H1 0.062 0.500 0.411
H2 0.096 0.000 0.622
H3 0.193 0.000 0.476